[1]
A geometry-optimized Tl7Te3F structure, computed with PBE. Values from VASP.

**Space group**: Cmcm (63)

Structure (Quantum ESPRESSO input):
```
&SYSTEM
  ibrav = 0, nat = 22, ntyp = 3
/
ATOMIC_SPECIES
Tl 204.38 Tl.upf
Te 127.60 Te.upf
F 19.00 F.upf
CELL_PARAMETERS angstrom
8.8403 -0.7366 0.0000
-3.7366 8.0456 0.0000
0.0000 0.0000 11.8079
ATOMIC_POSITIONS angstrom
Tl -2.1300 7.1091 2.9520
Tl -2.3040 6.8599 8.8559
Tl -0.1260 3.3127 5.6896
Tl -0.1260 3.3127 0.2143
Tl 1.9504 6.2862 11.5936
Tl 1.9504 6.2862 6.1182
Tl 2.7529 3.9423 8.8559
Tl 2.3509 3.3667 2.9520
Tl 3.1534 1.0228 0.2143
Tl 3.1534 1.0228 5.6896
Tl 5.2297 3.9963 11.5936
Tl 5.2297 3.9963 6.1182
Tl 7.4078 0.4491 2.9520
Tl 7.2338 0.1999 8.8559
Te -0.4800 3.9234 8.8559
Te 0.0000 0.0000 0.0000
Te 0.0000 0.0000 5.9039
Te 1.2551 6.4083 2.9520
Te 3.8487 0.9007 8.8559
Te 5.5838 3.3856 2.9520
F 2.5519 3.6545 0.0000
F 2.5519 3.6545 5.9039
```

=====

[2]
A geometry-optimized TlTe2F structure, computed with PBE. Values from VASP.

**Space group**: R-3m (166)

Structure (Quantum ESPRESSO input):
```
&SYSTEM
  ibrav = 0, nat = 4, ntyp = 3
/
ATOMIC_SPECIES
Tl 204.38 Tl.upf
Te 127.60 Te.upf
F 19.00 F.upf
CELL_PARAMETERS angstrom
4.2721 6.5311 7.0761
5.0046 3.6730 8.5112
6.9760 4.8967 6.1915
ATOMIC_POSITIONS angstrom
Tl 0.0000 0.0000 0.0000
Te 14.6340 13.5969 19.6098
Te 1.6187 1.5040 2.1690
F 8.1263 7.5504 10.8894
```

=====

[3]
A geometry-optimized TlTe3F structure, computed with PBE. Values from VASP.

**Space group**: Pm-3m (221)

Structure (Quantum ESPRESSO input):
```
&SYSTEM
  ibrav = 0, nat = 5, ntyp = 3
/
ATOMIC_SPECIES
Tl 204.38 Tl.upf
Te 127.60 Te.upf
F 19.00 F.upf
CELL_PARAMETERS angstrom
-3.9043 -1.8985 3.6969
-0.0637 -5.0445 -2.6578
4.1553 -1.8611 3.4328
ATOMIC_POSITIONS angstrom
Tl 0.0000 0.0000 0.0000
Te -0.0319 -2.5222 -1.3289
Te 2.0777 -0.9306 1.7164
Te -1.9522 -0.9492 1.8484
F 0.0936 -4.4020 2.2359
```

=====

no.,E_form (uncorrected) (eV/atom)
1,-0.5017
2,-0.2542
3,0.5598